VASP calculation (PBE) on a relaxed structure of PmGdCl2.

Calculated values
**Total energy**: -6.96 eV/atom
**Crystal system**: trigonal
**M_tot**: 21.8 μB per cell
**Formation energy without anion corrections**: -1.331 eV per atom
**Space-group type**: R-3m, No. 166

Lattice parameters (Å, degrees): 3.6329 3.6329 28.8579 90.00 90.00 120.00
Element x y z (fractional)
Pm: 0.0000 0.0000 0.0000
Pm: 0.3333 0.6667 0.6667
Pm: 0.6667 0.3333 0.3333
Gd: 0.0000 0.0000 0.5000
Gd: 0.3333 0.6667 0.1667
Gd: 0.6667 0.3333 0.8333
Cl: 0.0000 0.0000 0.4038
Cl: 0.0000 0.0000 0.5962
Cl: 0.3333 0.6667 0.0704
Cl: 0.3333 0.6667 0.2629
Cl: 0.6667 0.3333 0.7371
Cl: 0.6667 0.3333 0.9296